Entry from Alexandria: a relaxed Li4ThV3O12 crystal (PBE with a Hubbard U).

VASP energy: -6.631 eV per atom
Theoretical density: 5.1 g/cm3
Crystal system: cubic

CIF file:
```
data_Li4ThV3O12
_chemical_formula_sum 'Li4 Th1 V3 O12'
_symmetry_space_group_name_H-M 'P 1'
_symmetry_Int_Tables_number 1
_cell_length_a 6.3591
_cell_length_b 6.3591
_cell_length_c 6.3591
_cell_angle_alpha 109.47
_cell_angle_beta 109.47
_cell_angle_gamma 109.47
loop_
_symmetry_equiv_pos_as_xyz
'x,y,z'
loop_
_atom_site_label
_atom_site_type_symbol
_atom_site_fract_x
_atom_site_fract_y
_atom_site_fract_z
_atom_site_occupancy
Li1 Li 0.0000 0.0000 0.5000 1
Li2 Li 0.0000 0.5000 0.0000 1
Li3 Li 0.5000 0.0000 0.0000 1
Li4 Li 0.5000 0.5000 0.5000 1
Th1 Th 0.0000 0.0000 0.0000 1
V1 V 0.0000 0.5000 0.5000 1
V2 V 0.5000 0.0000 0.5000 1
V3 V 0.5000 0.5000 0.0000 1
O1 O 0.1502 0.8330 0.3172 1
O2 O 0.1670 0.3172 0.4842 1
O3 O 0.1670 0.6828 0.8498 1
O4 O 0.3172 0.1502 0.8330 1
O5 O 0.3172 0.4842 0.1670 1
O6 O 0.4842 0.1670 0.3172 1
O7 O 0.5158 0.8330 0.6828 1
O8 O 0.6828 0.5158 0.8330 1
O9 O 0.6828 0.8498 0.1670 1
O10 O 0.8330 0.3172 0.1502 1
O11 O 0.8330 0.6828 0.5158 1
O12 O 0.8498 0.1670 0.6828 1
```